(1)
Material: Pm3UPa2As6
Method: DFT, PBE
State: relaxed

Output
- Space-group type: C2/m (12)
- Formation energy: -1234 meV/atom

Lattice parameters (Å, degrees): 4.1473 8.3486 9.3240 103.53 102.85 90.00
Site moments in Bohr magnetons follow the coordinates.
Sites, in units of the cell vectors:
1 Pm 0.5000 0.5000 0.0000  0.01
2 Pm 0.8328 0.1674 0.6657  0.00
3 Pm 0.1672 0.8326 0.3343  0.00
4 U 0.5000 0.0000 0.0000  2.25
5 Pa 0.8348 0.6699 0.6696  0.21
6 Pa 0.1652 0.3301 0.3304  0.21
7 As 0.3358 0.9115 0.6715  -0.02
8 As 0.6698 0.5757 0.3396  -0.01
9 As 0.6642 0.0885 0.3285  -0.02
10 As 0.0019 0.2441 0.0038  -0.03
11 As 0.9981 0.7559 0.9962  -0.03
12 As 0.3302 0.4243 0.6604  -0.01

(2)
Material: TeRu2
Method: DFT, PBE
State: relaxed

Output
- Space-group type: I4/mmm (139)
- Uncorrected formation energy: 0.483 eV/atom
- ΔE to the lowest computed polymorph: 369 meV/atom

Lattice parameters (Å, degrees): 5.8296 5.8296 5.8296 149.61 149.61 43.51
Sites, in units of the cell vectors:
1 Ru 0.3233 0.3233 0.0000
2 Ru 0.6767 0.6767 0.0000
3 Te 0.0000 0.0000 0.0000

(3)
Material: NaPu2Cl5
Method: DFT, PBE
State: relaxed

Output
- Space-group type: Cmcm (63)
- Uncorrected formation energy: -1.733 eV/atom

Lattice parameters (Å, degrees): 5.5929 7.1309 14.0143 90.00 90.00 113.09
Site moments in Bohr magnetons follow the coordinates.
Sites, in units of the cell vectors:
1 Na 0.7931 0.5861 0.7500  0.00
2 Na 0.2069 0.4139 0.2500  0.00
3 Pu 0.8492 0.6985 0.4428  5.75
4 Pu 0.8492 0.6985 0.0572  5.75
5 Pu 0.1508 0.3015 0.5572  5.75
6 Pu 0.1508 0.3015 0.9428  5.75
7 Cl 0.9495 0.8990 0.8810  -0.03
8 Cl 0.9495 0.8990 0.6190  -0.03
9 Cl 0.3237 0.6474 0.4303  -0.04
10 Cl 0.3237 0.6474 0.0697  -0.04
11 Cl 0.7692 0.5384 0.2500  -0.02
12 Cl 0.2308 0.4616 0.7500  -0.02
13 Cl 0.6763 0.3526 0.5697  -0.04
14 Cl 0.6763 0.3526 0.9303  -0.04
15 Cl 0.0505 0.1010 0.1190  -0.03
16 Cl 0.0505 0.1010 0.3810  -0.03

(4)
Material: Na2LiMgO
Method: DFT, PBE
State: relaxed

Output
- Space-group type: P4/mmm (123)
- Uncorrected formation energy: 0.654 eV/atom

Lattice parameters (Å, degrees): 5.6134 5.0478 5.6134 90.00 90.00 90.00
Sites, in units of the cell vectors:
1 Na 0.0000 0.0000 0.5000
2 Na 0.5000 0.0000 0.0000
3 Mg 0.0000 0.0000 0.0000
4 O 0.5000 0.5000 0.5000
5 Li 0.0000 0.5000 0.0000

(5)
Material: Co2AgSb2
Method: DFT, PBE
State: relaxed

Output
- Space-group type: I4/mmm (139)
- Uncorrected formation energy: 0.399 eV/atom
- ΔE to the lowest computed polymorph: 264 meV/atom

Lattice parameters (Å, degrees): 4.3686 4.3686 5.8707 68.16 68.16 90.00
Site moments in Bohr magnetons follow the coordinates.
Sites, in units of the cell vectors:
1 Sb 0.7500 0.2500 0.5000  -0.01
2 Sb 0.2500 0.7500 0.5000  -0.01
3 Co 0.3858 0.3858 0.2283  0.64
4 Co 0.6142 0.6142 0.7717  0.64
5 Ag 0.0000 0.0000 0.0000  -0.01

(6)
Material: Ac2PmEr
Method: DFT, PBE
State: relaxed

Output
- Space-group type: P4/mmm (123)
- ΔE to the lowest computed polymorph: 7 meV/atom
- Formation energy: 48 meV/atom

Lattice parameters (Å, degrees): 3.8792 3.8792 10.1446 90.00 90.00 90.00
Sites, in units of the cell vectors:
1 Ac 0.0000 0.0000 0.7555
2 Ac 0.0000 0.0000 0.2445
3 Pm 0.5000 0.5000 0.5000
4 Er 0.5000 0.5000 0.0000

(7)
Material: PaTlPdSe4
Method: DFT, PBE
State: relaxed

Output
- Space-group type: P2_1/m (11)
- Uncorrected formation energy: -0.791 eV/atom

Lattice parameters (Å, degrees): 7.2625 5.6755 9.5274 90.00 109.93 90.00
Sites, in units of the cell vectors:
1 Pa 0.7260 0.7500 0.4474
2 Pa 0.2740 0.2500 0.5526
3 Tl 0.7444 0.7500 0.9471
4 Tl 0.2556 0.2500 0.0529
5 Pd 0.2490 0.7500 0.3082
6 Pd 0.7510 0.2500 0.6918
7 Se 0.0346 0.5117 0.6989
8 Se 0.9654 0.0117 0.3011
9 Se 0.9654 0.4883 0.3011
10 Se 0.0346 0.9883 0.6989
11 Se 0.4697 0.7500 0.1567
12 Se 0.5303 0.2500 0.8433
13 Se 0.4274 0.7500 0.5866
14 Se 0.5726 0.2500 0.4134

(8)
Material: Sm7Ir2Au2
Method: DFT, PBE
State: relaxed

Output
- Space-group type: Cmmm (65)
- Formation energy: -499 meV/atom

Lattice parameters (Å, degrees): 6.8225 7.1699 6.8225 90.00 106.72 90.00
Sites, in units of the cell vectors:
1 Sm 0.9998 0.2571 0.5003
2 Sm 0.5003 0.7429 0.9998
3 Sm 0.0002 0.7429 0.4997
4 Sm 0.4997 0.2571 0.0002
5 Sm 0.0000 0.0000 0.0000
6 Sm 0.5002 0.7498 0.4998
7 Sm 0.4998 0.2502 0.5002
8 Ir 0.7121 0.0000 0.2879
9 Ir 0.2879 0.0000 0.7121
10 Au 0.8098 0.5000 0.8098
11 Au 0.1902 0.5000 0.1902

Results for total DFT energy (no corrections): -87.2; -20.2; -53.1; -7.8; -23.3; -17.3; -36.5; -62.8 (in eV/f.u., following the order of the records).